(1)
# Pm2TiP3Ir4 | Alexandria | PBE-GGA | optimized geometry
# E = -78.9 eV per cell
# Energy relative to the elements = -986 meV per atom
# Theoretical density = 11633 kg/m3
# D(E_F) = 0.599 states/eV per atom
# Magnetic moment = 0.00 μB per cell
data_Pm2TiP3Ir4
_cell_length_a 4.053
_cell_length_b 4.053
_cell_length_c 10.427
_cell_angle_alpha 90.00
_cell_angle_beta 90.00
_cell_angle_gamma 90.00
_space_group_name_H-M_alt 'P -4 m 2'
_space_group_IT_number 115
loop_
_space_group_symop_operation_xyz
'x,y,z'
'y,-x,-z'
'-x,-y,z'
'-y,x,-z'
'-x,y,z'
'-y,-x,-z'
'x,-y,z'
'y,x,-z'
loop_
_atom_site_label
_atom_site_fract_x
_atom_site_fract_y
_atom_site_fract_z
Pm1 0.000 0.500 0.239
Ti1 0.000 0.000 0.500
P1 0.000 0.500 0.865
P2 0.500 0.500 0.500
Ir1 0.000 0.000 0.000
Ir2 0.000 0.500 0.640
Ir3 0.500 0.500 0.000

(2)
# Pm2UP3Ir12 | Alexandria | PBE-GGA | optimized geometry
# E = -433.2 eV per cell
# Energy relative to the elements = -59 meV per atom
# Theoretical density = 14256 kg/m3
# D(E_F) = 0.672 states/eV per atom
# Magnetic moment = 0.00 μB per cell
data_Pm2UP3Ir12
_cell_length_a 8.1530
_cell_length_b 8.1530
_cell_length_c 17.7714
_cell_angle_alpha 90.00
_cell_angle_beta 90.00
_cell_angle_gamma 120.00
_space_group_name_H-M_alt 'R -3 m'
_space_group_IT_number 166
_space_group_name_Hall '-R 3 2"'
loop_
_atom_site_label
_atom_site_fract_x
_atom_site_fract_y
_atom_site_fract_z
Pm1 0.0000 0.0000 0.0977
U1 0.0000 0.0000 0.5000
P1 0.0000 0.5000 0.0000
Ir1 0.0180 0.5090 0.8693
Ir2 0.0431 0.5216 0.3639

(3)
# Pm2VP3Ir4 | Alexandria | PBE-GGA | optimized geometry
# E = -79.6 eV per cell
# Energy relative to the elements = -927 meV per atom
# Theoretical density = 11850 kg/m3
# D(E_F) = 0.443 states/eV per atom
# Magnetic moment = 0.00 μB per cell
data_Pm2VP3Ir4
_cell_length_a 4.088
_cell_length_b 4.088
_cell_length_c 10.084
_cell_angle_alpha 90.00
_cell_angle_beta 90.00
_cell_angle_gamma 90.00
_space_group_name_H-M_alt 'P -4 m 2'
_space_group_IT_number 115
loop_
_space_group_symop_operation_xyz
'x,y,z'
'y,-x,-z'
'-x,-y,z'
'-y,x,-z'
'-x,y,z'
'-y,-x,-z'
'x,-y,z'
'y,x,-z'
loop_
_atom_site_label
_atom_site_fract_x
_atom_site_fract_y
_atom_site_fract_z
Pm1 0.000 0.500 0.249
V1 0.000 0.000 0.500
P1 0.000 0.500 0.863
P2 0.500 0.500 0.500
Ir1 0.000 0.000 0.000
Ir2 0.000 0.500 0.631
Ir3 0.500 0.500 0.000

(4)
# Pm2ZnP3Ir4 | Alexandria | PBE-GGA | optimized geometry
# E = -71.2 eV per cell
# Energy relative to the elements = -880 meV per atom
# Theoretical density = 11929 kg/m3
# D(E_F) = 0.420 states/eV per atom
# Magnetic moment = 0.00 μB per cell
data_Pm2ZnP3Ir4
_cell_length_a 4.110
_cell_length_b 4.110
_cell_length_c 10.029
_cell_angle_alpha 90.00
_cell_angle_beta 90.00
_cell_angle_gamma 90.00
_space_group_name_H-M_alt 'P -4 m 2'
_space_group_IT_number 115
loop_
_space_group_symop_operation_xyz
'x,y,z'
'y,-x,-z'
'-x,-y,z'
'-y,x,-z'
'-x,y,z'
'-y,-x,-z'
'x,-y,z'
'y,x,-z'
loop_
_atom_site_label
_atom_site_fract_x
_atom_site_fract_y
_atom_site_fract_z
Pm1 0.000 0.500 0.247
Zn1 0.500 0.500 0.000
P1 0.000 0.000 0.000
P2 0.000 0.500 0.636
Ir1 0.000 0.000 0.500
Ir2 0.000 0.500 0.864
Ir3 0.500 0.500 0.500

Which value of theoretical density does entry 3 give?
11850 kg/m3